Below is crystalline CsCaAs2Se at its relaxed geometry, with properties calculated at the PBE level.

- space-group type = P4/mmm, No. 123
- D(E_F) (states/eV/cell) = 7.89
- energy above the most stable polymorph in this dataset (kcal/mol of atoms) = 20.91
- magnetic moment (μB per atom) = 0.111
- E_form (uncorrected) (kJ/mol of atoms) = 77.9

a = 5.702 Å, b = 5.702 Å, c = 5.874 Å
α = 90.00°, β = 90.00°, γ = 90.00°
Fractional coordinates of all 5 atoms:
1 Cs 0.000 0.000 0.000
2 Ca 0.500 0.500 0.500
3 As 0.000 0.500 0.000
4 As 0.500 0.000 0.000
5 Se 0.000 0.000 0.500